#A
Material: LiFeSiO4
Method: DFT, meta-GGA SCAN
State: single point on PBEsol structure

Structure (extended XYZ):
```
42
Lattice="-3.348 -6.211 4.768 -0.750 -2.297 -8.166 8.306 0.485 1.815" Properties=species:S:1:pos:R:3 pbc="T T T"
Li 6.455 -2.021 -3.687
Li 2.462 -2.489 -3.158
Li 3.421 -2.897 1.461
Li 2.930 -5.492 4.538
Li -0.609 -4.667 -0.286
Li -2.039 -6.491 -3.613
Fe 3.449 -0.654 -0.798
Fe 3.887 -5.118 -3.771
Fe 4.873 -5.545 1.015
Fe -0.660 -2.466 -2.538
Fe 0.350 -2.862 2.155
Fe 0.701 -7.375 -0.802
Si 6.224 -1.544 2.114
Si 4.896 -3.323 -1.334
Si 1.345 -2.476 -6.136
Si 0.724 -5.163 -3.101
Si 1.750 -5.564 1.663
Si -2.309 -6.007 2.045
O 6.437 -3.661 -4.728
O 5.814 -0.057 1.539
O 6.242 -2.521 -1.822
O 4.881 -2.353 2.595
O 5.309 -4.743 -0.621
O 4.000 -2.383 -0.327
O 2.506 -2.092 -5.043
O 3.991 -3.623 -2.673
O 2.246 -0.781 -2.221
O -0.057 -1.695 -5.770
O 1.874 -1.801 1.958
O 3.222 -4.851 1.510
O 4.580 -6.353 3.981
O 2.164 -5.816 -3.544
O 0.830 -3.530 -2.938
O 0.613 -4.464 1.217
O 1.689 -6.907 0.719
O -0.437 -5.557 -4.192
O 0.264 -5.780 -1.649
O -1.249 -2.892 -0.817
O 1.565 -5.973 3.242
O -1.472 -8.181 -2.843
O -2.116 -5.603 0.466
O -2.400 -4.647 2.969
```



#B
Material: LiFeSiO4
Method: DFT, meta-GGA SCAN
State: single point on PBEsol structure

Structure (extended XYZ):
```
28
Lattice="7.175 0.000 0.000 0.000 7.175 0.000 0.000 0.000 7.175" Properties=species:S:1:pos:R:3 pbc="T T T"
Li 5.397 1.778 5.366
Li 5.366 5.397 1.778
Li 1.809 1.809 1.809
Li 1.778 5.366 5.397
Fe 1.380 2.207 4.968
Fe 2.207 4.968 1.380
Fe 4.968 1.380 2.207
Fe 5.794 5.794 5.794
Si 3.819 3.819 3.819
Si 3.355 0.232 6.943
Si 6.943 3.355 0.232
Si 0.232 6.943 3.355
O 4.751 4.751 4.751
O 6.012 2.424 1.163
O 1.163 6.012 2.424
O 2.424 1.163 6.012
O 3.408 0.858 1.288
O 4.876 0.179 6.317
O 4.445 2.299 3.766
O 6.317 4.876 0.179
O 5.886 6.996 2.730
O 0.179 6.317 4.876
O 6.996 2.730 5.886
O 1.288 3.408 0.858
O 0.858 1.288 3.408
O 2.730 5.886 6.996
O 2.299 3.766 4.445
O 3.766 4.445 2.299
```



The winner here is #A, beating the second structure by 52 meV/atom.



#A
Material: Li2FeSiO4
Method: DFT, meta-GGA SCAN
State: single point on PBEsol structure

Structure (extended XYZ):
```
16
Lattice="-3.411 2.721 -2.107 -1.615 -4.234 -2.853 -4.085 -1.611 4.532" Properties=species:S:1:pos:R:3 pbc="T T T"
Li -6.037 -0.918 3.009
Li -1.372 -3.563 -2.386
Li -1.553 -1.823 0.079
Li -5.902 -2.622 0.516
Fe -3.547 -4.339 -0.140
Fe -4.029 -0.010 0.659
Si -7.055 0.056 0.404
Si -3.728 -1.846 -1.866
O -2.932 -1.420 1.639
O -5.253 -2.442 -1.496
O -4.633 -2.090 3.649
O -3.477 -1.832 -3.460
O -5.799 -0.777 1.077
O -2.668 -2.859 -1.109
O -3.633 -0.333 -1.205
O -4.437 -3.622 1.420
```



#B
Material: Li2FeSiO4
Method: DFT, meta-GGA SCAN
State: single point on PBEsol structure

Structure (extended XYZ):
```
32
Lattice="4.906 0.000 0.000 0.000 6.362 0.174 0.000 -0.013 10.617" Properties=species:S:1:pos:R:3 pbc="T T T"
Li 0.917 0.059 1.841
Li 1.535 0.053 7.150
Li 1.521 1.521 4.581
Li 0.932 1.515 9.890
Li 3.973 4.834 0.901
Li 3.385 4.827 6.210
Li 3.370 6.296 3.641
Li 3.988 6.289 8.949
Fe 1.106 3.258 1.995
Fe 3.559 3.096 3.488
Fe 1.347 3.252 7.303
Fe 3.800 3.090 8.796
Si 3.352 1.500 0.892
Si 4.006 1.493 6.201
Si 0.900 4.855 4.590
Si 1.553 4.848 9.899
O 3.880 0.165 1.625
O 3.478 0.158 6.934
O 1.714 1.644 1.027
O 3.578 1.538 4.606
O 0.739 1.638 6.336
O 4.021 2.860 1.610
O 3.780 1.531 9.915
O 3.337 2.853 6.918
O 1.568 3.495 3.872
O 1.125 4.817 0.876
O 0.884 3.488 9.181
O 4.166 4.711 4.455
O 1.327 4.810 6.184
O 3.192 4.704 9.764
O 1.428 6.190 3.857
O 1.025 6.184 9.166
```



#C
Material: Li2FeSiO4
Method: DFT, meta-GGA SCAN
State: single point on PBEsol structure

Structure (extended XYZ):
```
16
Lattice="-4.224 -0.886 3.081 1.964 -4.851 0.851 3.088 2.099 4.836" Properties=species:S:1:pos:R:3 pbc="T T T"
Li 0.813 -0.807 3.690
Li -1.529 -3.881 2.660
Li -0.747 -0.056 6.290
Li 1.575 -3.583 2.479
Fe -2.354 -1.065 3.895
Fe 3.182 -2.574 4.874
Si -0.720 -1.829 1.254
Si 0.004 -2.859 5.097
O 0.227 -0.623 1.850
O 1.987 0.504 4.506
O 0.437 -3.127 6.662
O -0.995 -4.032 4.519
O -2.078 -1.958 2.180
O 3.095 -1.200 6.258
O -0.727 -1.392 4.923
O 1.365 -2.728 4.176
```



The winner here is #C, beating the second structure by 12 meV/atom.



#A
Material: Li2FeSi3O8
Method: DFT, meta-GGA SCAN
State: single point on PBEsol structure

Structure (extended XYZ):
```
14
Lattice="5.042 -0.055 0.048 1.606 5.871 0.050 1.900 0.993 5.777" Properties=species:S:1:pos:R:3 pbc="T T T"
Li 5.814 5.324 2.105
Li 2.633 1.457 3.922
Fe 4.084 4.423 4.106
Si 6.523 5.637 5.155
Si 4.474 2.516 1.504
Si 1.911 1.219 0.715
O 3.033 5.944 4.741
O 5.452 1.148 1.482
O 5.527 5.851 3.906
O 4.989 3.579 2.574
O 3.658 2.791 5.011
O 6.352 4.112 5.766
O 4.187 5.593 0.691
O 2.923 1.981 1.799
```



#B
Material: Li2FeSi3O8
Method: DFT, meta-GGA SCAN
State: single point on PBEsol structure

Structure (extended XYZ):
```
28
Lattice="-2.496 -2.826 5.313 0.118 -4.445 -5.097 7.377 -2.348 2.217" Properties=species:S:1:pos:R:3 pbc="T T T"
Li 4.593 -5.503 -1.422
Li -0.729 -3.753 3.514
Li 0.565 -3.618 0.012
Li 3.632 -5.745 2.180
Fe 4.978 -7.882 4.300
Fe 3.689 -2.903 -0.764
Si 2.091 -6.948 -0.655
Si 6.110 -3.688 4.051
Si 4.277 -8.249 1.163
Si 1.827 -1.721 1.603
Si 0.531 -6.102 1.644
Si 5.759 -3.927 1.177
O -0.338 -7.464 1.326
O 5.736 -2.281 1.227
O 5.462 -4.370 5.410
O 2.701 -6.255 -2.025
O 3.464 -7.219 0.183
O 0.231 -1.984 1.858
O 6.199 -6.539 -1.023
O 1.115 -3.815 4.151
O 1.240 -5.773 0.156
O 5.314 -4.340 2.745
O 4.620 -7.378 2.455
O 2.246 -2.835 0.539
O 1.720 -6.348 2.736
O -0.129 -2.185 -1.327
O -0.514 -4.917 1.979
O 4.586 -4.406 0.176
```



The winner here is #B, beating the second structure by 15 meV/atom.



#A
Material: LiVFeO4
Method: DFT, meta-GGA SCAN
State: single point on PBEsol structure

Structure (extended XYZ):
```
14
Lattice="-4.179 -2.620 -3.159 -4.482 -2.559 2.621 -5.307 2.290 -0.310" Properties=species:S:1:pos:R:3 pbc="T T T"
Li -2.653 1.145 -0.155
Li -4.743 -0.165 -1.734
V -3.972 -1.647 1.190
V -9.995 -1.242 -2.038
Fe -6.984 -1.445 -0.424
Fe -2.089 -1.310 -1.579
O -8.272 -0.883 -1.929
O -7.807 -3.330 -0.515
O -6.161 0.441 -0.333
O -5.695 -2.006 1.081
O -5.596 -2.067 -1.743
O -10.505 -2.114 -0.640
O -3.462 -0.775 -0.207
O -8.371 -0.823 0.896
```



#B
Material: LiVFeO4
Method: DFT, meta-GGA SCAN
State: single point on PBEsol structure

Structure (extended XYZ):
```
14
Lattice="5.120 -0.038 0.000 -1.955 4.732 0.000 0.000 0.000 6.070" Properties=species:S:1:pos:R:3 pbc="T T T"
Li -0.810 3.960 4.553
Li 3.975 0.734 1.518
V -0.909 4.027 1.518
V 4.074 0.667 4.553
Fe 1.583 2.347 0.000
Fe 1.583 2.347 3.035
O -0.062 3.456 0.153
O -0.062 3.456 2.882
O 3.227 1.238 5.917
O 3.227 1.238 3.188
O 2.529 3.461 1.518
O 2.261 3.642 4.553
O 0.904 1.052 1.518
O 0.636 1.232 4.553
```



The winner here is #A, beating the second structure by 18 meV/atom.



#A
Material: Li2V3FeO8
Method: DFT, meta-GGA SCAN
State: single point on PBEsol structure

Structure (extended XYZ):
```
14
Lattice="5.750 0.056 0.040 2.860 4.989 0.040 2.860 1.676 4.700" Properties=species:S:1:pos:R:3 pbc="T T T"
Li 10.034 5.879 4.181
Li 1.436 0.841 0.598
V 2.860 3.332 2.370
V 4.305 0.866 2.370
V 4.305 2.522 0.040
Fe 5.735 3.360 2.389
O 8.490 4.975 3.537
O 7.171 4.202 1.396
O 7.171 2.698 3.510
O 5.859 4.936 3.510
O 5.610 1.784 1.269
O 4.299 4.022 1.269
O 4.299 2.519 3.383
O 2.980 1.746 1.241
```



#B
Material: Li2V3FeO8
Method: DFT, meta-GGA SCAN
State: single point on PBEsol structure

Structure (extended XYZ):
```
14
Lattice="-2.019 -2.769 4.563 2.804 -4.520 2.066 2.812 0.474 5.100" Properties=species:S:1:pos:R:3 pbc="T T T"
Li 1.884 -0.582 4.049
Li 1.784 -3.424 5.848
V 1.860 -0.975 7.368
V 3.189 -3.117 8.347
V 4.146 -1.804 6.185
Fe 1.729 -6.214 7.698
O 0.867 -1.741 2.895
O 1.445 -2.752 7.776
O 2.390 -1.456 5.640
O 3.704 -3.572 6.607
O -0.119 -3.239 5.118
O 1.204 -5.371 6.093
O 2.157 -4.065 3.941
O 2.765 -5.035 8.873
```



The winner here is #B, beating the second structure by 49 meV/atom.



#A
Material: Li2FeOs
Method: DFT, meta-GGA SCAN
State: single point on PBEsol structure

Structure (extended XYZ):
```
4
Lattice="-1.269 -0.935 -1.994 0.169 -3.455 1.512 -4.643 0.885 2.540" Properties=species:S:1:pos:R:3 pbc="T T T"
Fe -3.811 -1.574 1.543
Li -0.064 0.012 0.035
Li -1.668 -1.982 0.371
Os -2.521 0.480 1.379
```



#B
Material: Li2FeOs
Method: DFT, meta-GGA SCAN
State: single point on PBEsol structure

Structure (extended XYZ):
```
4
Lattice="-1.070 -0.614 -2.211 -1.515 -0.145 2.024 -2.452 8.647 -1.215" Properties=species:S:1:pos:R:3 pbc="T T T"
Fe -1.292 -0.380 -0.094
Li -0.616 2.171 -0.305
Li -1.836 6.475 -0.910
Os -2.518 3.944 -0.701
```



#C
Material: Li2FeOs
Method: DFT, meta-GGA SCAN
State: single point on PBEsol structure

Structure (extended XYZ):
```
4
Lattice="-1.895 -1.079 3.390 1.285 -3.192 2.099 1.798 0.526 3.569" Properties=species:S:1:pos:R:3 pbc="T T T"
Os 0.594 -1.872 4.529
Fe 0.000 0.000 0.000
Li 0.297 -0.936 2.265
Li 0.891 -2.809 6.794
```



The winner here is #A, beating the second structure by 15 meV/atom.



#A
Material: LiFeP2
Method: DFT, meta-GGA SCAN
State: single point on PBEsol structure

Structure (extended XYZ):
```
4
Lattice="-2.695 0.651 -0.232 1.329 -1.562 -3.151 -1.289 -4.369 2.704" Properties=species:S:1:pos:R:3 pbc="T T T"
Fe -0.644 -2.185 1.352
Li -1.347 0.326 -0.116
P -2.253 -3.297 0.229
P -0.401 -1.983 -0.907
```



#B
Material: LiFeP2
Method: DFT, meta-GGA SCAN
State: single point on PBEsol structure

Structure (extended XYZ):
```
4
Lattice="2.710 0.000 0.000 0.000 2.710 0.000 0.000 0.000 6.699" Properties=species:S:1:pos:R:3 pbc="T T T"
Fe 1.355 1.355 0.000
Li 1.355 1.355 3.349
P 0.000 0.000 5.317
P 0.000 0.000 1.381
```



The winner here is #B, beating the second structure by 8 meV/atom.



#A
Material: LiFePb3
Method: DFT, meta-GGA SCAN
State: single point on PBEsol structure

Structure (extended XYZ):
```
5
Lattice="-2.305 2.763 3.654 3.228 -1.923 3.491 3.251 3.869 -0.874" Properties=species:S:1:pos:R:3 pbc="T T T"
Pb 1.614 -0.962 1.745
Pb 1.625 1.934 -0.437
Pb -1.153 1.381 1.827
Fe 0.000 0.000 0.000
Li 2.087 2.354 3.135
```



#B
Material: LiFePb3
Method: DFT, meta-GGA SCAN
State: single point on PBEsol structure

Structure (extended XYZ):
```
5
Lattice="5.014 0.000 0.000 0.000 5.014 0.000 0.000 0.000 5.014" Properties=species:S:1:pos:R:3 pbc="T T T"
Pb 0.000 2.507 0.000
Pb 0.000 0.000 2.507
Pb 2.507 0.000 0.000
Fe 2.507 2.507 2.507
Li 0.000 0.000 0.000
```



The winner here is #A, beating the second structure by 451 meV/atom.